Entry one
Computed, not measured: a geometry-optimized TbPm2Tm9 structure at the PBE level of DFT.

Results
Fermi-level density of states: 23.288 states/eV/cell

Lattice parameters (Å, degrees): 5.8022 5.8022 11.1035 90.00 90.00 90.00
With the nearest neighbours (Å) after each atom.
Space group P4/mmm (No. 123)
Symmetry-distinct sites (fractional):
Tb 0.0000 0.0000 0.0000 (multiplicity 1)  8 Tm 3.43, 2 Pm 3.69
Pm 0.0000 0.0000 0.3325 (multiplicity 2)  8 Tm 3.45, 1 Tb 3.69, 1 Pm 3.72
Tm 0.0000 0.5000 0.1648 (multiplicity 4)  2 Tb 3.43, 6 Tm 3.43-3.72, 2 Pm 3.45
Tm 0.0000 0.5000 0.5000 (multiplicity 2)  6 Tm 3.44-3.72, 4 Pm 3.45
Tm 0.5000 0.5000 0.0000 (multiplicity 1)  10 Tm 3.43-3.70
Tm 0.5000 0.5000 0.3331 (multiplicity 2)  10 Tm 3.44-3.71

Entry two
Computed, not measured: a geometry-optimized TbPm2Tm9 structure at the PBE level of DFT.

Results
Fermi-level density of states: 19.518 states/eV/cell

Lattice parameters (Å, degrees): 11.1322 11.1322 3.4779 90.00 90.00 120.00
With the nearest neighbours (Å) after each atom.
Space group P6/mmm (No. 191)
Symmetry-distinct sites (fractional):
Tb 0.0000 0.0000 0.0000 (multiplicity 1)  2 Tb 3.48, 12 Tm 3.80
Pm 0.3333 0.6667 0.0000 (multiplicity 2)  9 Tm 3.21-3.51, 2 Pm 3.48
Tm 0.0000 0.5000 0.0000 (multiplicity 3)  2 Pm 3.21, 10 Tm 3.48-3.58
Tm 0.1752 0.3504 0.5000 (multiplicity 6)  8 Tm 3.38-3.58, 2 Pm 3.51

Preferred: entry two; penalty for the next structure: 0.058 eV/atom.

Entry one
Computed, not measured: a geometry-optimized Tb2Pm5Tm12 structure at the PBE level of DFT.

Results
Fermi-level density of states: 26.449 states/eV/cell

Lattice parameters (Å, degrees): 7.9037 8.6511 9.3660 90.07 94.89 111.28
With the nearest neighbours (Å) after each atom.
Space group P-1 (No. 2)
Symmetry-distinct sites (fractional):
Tb 0.0790 0.0262 0.1827 (multiplicity 2)  1 Tb 3.51, 8 Tm 3.52-3.55, 3 Pm 3.53-3.56
Pm 0.2381 0.0790 0.5520 (multiplicity 2)  8 Tm 3.53-3.56, 2 Pm 3.53-3.55, 2 Tb 3.55-3.56
Pm 0.3413 0.4475 0.1322 (multiplicity 2)  9 Tm 3.52-3.56, 1 Tb 3.53, 2 Pm 3.53-3.56
Pm 0.5000 0.5000 0.5000 (multiplicity 1)  4 Pm 3.53, 8 Tm 3.55-3.57
Tm 0.0238 0.3423 0.3947 (multiplicity 2)  7 Tm 3.51-3.55, 4 Pm 3.54-3.55, 1 Tb 3.55
Tm 0.1330 0.7112 0.9730 (multiplicity 2)  8 Tm 3.50-3.56, 2 Tb 3.53, 2 Pm 3.53-3.54
Tm 0.1808 0.3943 0.7645 (multiplicity 2)  7 Tm 3.50-3.55, 1 Tb 3.53, 4 Pm 3.54-3.57
Tm 0.2870 0.7628 0.3409 (multiplicity 2)  7 Tm 3.50-3.57, 1 Tb 3.52, 4 Pm 3.52-3.55
Tm 0.3960 0.1307 0.9207 (multiplicity 2)  7 Tm 3.50-3.55, 2 Tb 3.54, 3 Pm 3.54-3.55
Tm 0.4457 0.8158 0.7130 (multiplicity 2)  7 Tm 3.50-3.57, 4 Pm 3.53-3.56, 1 Tb 3.55

Entry two
Computed, not measured: a geometry-optimized Tb2Pm5Tm12 structure at the PBE level of DFT.

Results
Fermi-level density of states: 50.698 states/eV/cell

Lattice parameters (Å, degrees): 18.1546 6.9815 10.3091 90.00 111.05 90.00
With the nearest neighbours (Å) after each atom.
Space group C2/m (No. 12)
Symmetry-distinct sites (fractional):
Tb 0.0000 0.2282 0.0000 (multiplicity 4)  2 Tm 3.08, 1 Tb 3.19
Pm 0.0000 0.5000 0.5000 (multiplicity 2)  2 Tm 2.80
Pm 0.1817 0.0000 0.2098 (multiplicity 4)  2 Pm 3.51, 2 Tb 3.60, 8 Tm 3.62-3.82
Pm 0.1882 0.5000 0.1830 (multiplicity 4)  5 Tm 3.26-3.53, 2 Pm 3.51
Tm 0.0028 0.0000 0.6736 (multiplicity 4)  7 Tm 3.32-3.66
Tm 0.0251 0.5000 0.2473 (multiplicity 4)  1 Pm 2.80, 2 Tb 3.08
Tm 0.1581 0.2532 0.8687 (multiplicity 8)  6 Tm 3.32-3.61, 3 Pm 3.50-3.71, 1 Tb 3.59
Tm 0.1626 0.2474 0.5219 (multiplicity 8)  6 Tm 3.36-3.61, 3 Pm 3.38-3.69

Preferred: entry one; penalty for the next structure: 0.154 eV/atom.